# Nd4InSn3, relaxed, DFT PBE-GGA
data_Nd4InSn3
_chemical_formula_sum 'Nd4 In1 Sn3'
_symmetry_space_group_name_H-M 'P m m 2'
_symmetry_Int_Tables_number 25
_cell_length_a 4.4084
_cell_length_b 4.6864
_cell_length_c 11.8021
_cell_angle_alpha 90.00
_cell_angle_beta 90.00
_cell_angle_gamma 90.00
loop_
_symmetry_equiv_pos_as_xyz
'x,y,z'
'-x,-y,z'
'-x,y,z'
'x,-y,z'
loop_
_atom_site_label
_atom_site_type_symbol
_atom_site_fract_x
_atom_site_fract_y
_atom_site_fract_z
Nd1 Nd 0.0000 0.0000 0.0000
Nd2 Nd 0.0000 0.5000 0.4995
Nd3 Nd 0.5000 0.0000 0.2731
Nd4 Nd 0.5000 0.5000 0.7742
In1 In 0.5000 0.0000 0.5515
Sn1 Sn 0.0000 0.0000 0.7214
Sn2 Sn 0.0000 0.5000 0.2246
Sn3 Sn 0.5000 0.5000 0.0477
# Spin magnetization ... 0.0 μB per formula unit
# Final energy ... -4.943 eV per atom
# Formation energy ... -715.5 meV per atom

***

# Nd5InSn2, relaxed, DFT PBE-GGA
data_Nd5InSn2
_chemical_formula_sum 'Nd10 In2 Sn4'
_symmetry_space_group_name_H-M 'I 4/m m m'
_symmetry_Int_Tables_number 139
_symmetry_space_group_name_Hall '-I 4 2'
_cell_length_a 7.0669
_cell_length_b 7.0669
_cell_length_c 9.5027
_cell_angle_alpha 90.00
_cell_angle_beta 90.00
_cell_angle_gamma 90.00
loop_
_atom_site_label
_atom_site_type_symbol
_atom_site_fract_x
_atom_site_fract_y
_atom_site_fract_z
Nd1 Nd 0.0000 0.0000 0.0000
Nd2 Nd 0.2500 0.2500 0.2500
In1 In 0.0000 0.0000 0.5000
Sn1 Sn 0.0000 0.5000 0.0000
# Spin magnetization ... 0.0 μB per formula unit
# Final energy ... -4.805 eV per atom
# Formation energy ... -482.0 meV per atom
# Distance to the lowest polymorph of the same formula ... 0.069 eV/atom

***

# NdInSn6, relaxed, DFT PBE-GGA
data_NdInSn6
_chemical_formula_sum 'Nd1 In1 Sn6'
_symmetry_space_group_name_H-M 'P 4/m m m'
_symmetry_Int_Tables_number 123
_symmetry_space_group_name_Hall '-P 4 2'
_cell_length_a 6.7733
_cell_length_b 6.7733
_cell_length_c 4.7414
_cell_angle_alpha 90.00
_cell_angle_beta 90.00
_cell_angle_gamma 90.00
loop_
_atom_site_label
_atom_site_type_symbol
_atom_site_fract_x
_atom_site_fract_y
_atom_site_fract_z
Nd1 Nd 0.0000 0.0000 0.0000
In1 In 0.5000 0.5000 0.0000
Sn1 Sn 0.0000 0.5000 0.0000
Sn2 Sn 0.2593 0.2593 0.5000
# Spin magnetization ... 0.0 μB per formula unit
# Final energy ... -4.159 eV per atom
# Formation energy ... -218.3 meV per atom

***

# Nd4In3Sn, relaxed, DFT PBE-GGA
data_Nd4In3Sn
_chemical_formula_sum 'Nd4 In3 Sn1'
_symmetry_space_group_name_H-M 'P m m m'
_symmetry_Int_Tables_number 47
_cell_length_a 3.7800
_cell_length_b 5.5546
_cell_length_c 11.0985
_cell_angle_alpha 90.00
_cell_angle_beta 90.00
_cell_angle_gamma 90.00
loop_
_symmetry_equiv_pos_as_xyz
'x,y,z'
'-x,-y,-z'
'-x,-y,z'
'x,y,-z'
'x,-y,-z'
'-x,y,z'
'-x,y,-z'
'x,-y,z'
loop_
_atom_site_label
_atom_site_type_symbol
_atom_site_fract_x
_atom_site_fract_y
_atom_site_fract_z
Nd1 Nd 0.0000 0.0000 0.0000
Nd2 Nd 0.0000 0.0000 0.5000
Nd3 Nd 0.0000 0.5000 0.2479
In1 In 0.5000 0.0000 0.2548
In2 In 0.5000 0.5000 0.5000
Sn1 Sn 0.5000 0.5000 0.0000
# Spin magnetization ... 0.0 μB per formula unit
# Final energy ... -4.438 eV per atom
# Formation energy ... -526.5 meV per atom

***

# NdInSn, relaxed, DFT PBE-GGA
data_NdInSn
_chemical_formula_sum 'Nd2 In2 Sn2'
_symmetry_space_group_name_H-M 'I 4 m m'
_symmetry_Int_Tables_number 107
_symmetry_space_group_name_Hall 'I 4 -2'
_cell_length_a 3.8079
_cell_length_b 3.8079
_cell_length_c 11.5816
_cell_angle_alpha 90.00
_cell_angle_beta 90.00
_cell_angle_gamma 90.00
loop_
_atom_site_label
_atom_site_type_symbol
_atom_site_fract_x
_atom_site_fract_y
_atom_site_fract_z
Nd1 Nd 0.0000 0.0000 0.0000
In1 In 0.0000 0.0000 0.6818
Sn1 Sn 0.0000 0.0000 0.3152
# Spin magnetization ... 0.3 μB per formula unit
# Final energy ... -4.211 eV per atom
# Formation energy ... -374.7 meV per atom
# Distance to the lowest polymorph of the same formula ... 0.127 eV/atom

***

# NdIn4Sn, relaxed, DFT PBE-GGA
data_NdIn4Sn
_chemical_formula_sum 'Nd4 In16 Sn4'
_symmetry_space_group_name_H-M 'F -4 3 m'
_symmetry_Int_Tables_number 216
_symmetry_space_group_name_Hall 'F -4 2 3'
_cell_length_a 13.7835
_cell_length_b 13.7835
_cell_length_c 13.7835
_cell_angle_alpha 90.00
_cell_angle_beta 90.00
_cell_angle_gamma 90.00
loop_
_atom_site_label
_atom_site_type_symbol
_atom_site_fract_x
_atom_site_fract_y
_atom_site_fract_z
Nd1 Nd 0.0000 0.0000 0.0000
In1 In 0.1318 0.1318 0.1318
Sn1 Sn 0.2500 0.2500 0.2500
# Spin magnetization ... 3.1 μB per formula unit
# Final energy ... -2.474 eV per atom
# Formation energy ... 813.3 meV per atom
# Distance to the lowest polymorph of the same formula ... 0.955 eV/atom

***

# NdInSn4, relaxed, DFT PBE-GGA
data_NdInSn4
_chemical_formula_sum 'Nd4 In4 Sn16'
_symmetry_space_group_name_H-M 'F -4 3 m'
_symmetry_Int_Tables_number 216
_symmetry_space_group_name_Hall 'F -4 2 3'
_cell_length_a 8.7956
_cell_length_b 8.7956
_cell_length_c 8.7956
_cell_angle_alpha 90.00
_cell_angle_beta 90.00
_cell_angle_gamma 90.00
loop_
_atom_site_label
_atom_site_type_symbol
_atom_site_fract_x
_atom_site_fract_y
_atom_site_fract_z
Nd1 Nd 0.0000 0.0000 0.0000
In1 In 0.2500 0.2500 0.7500
Sn1 Sn 0.1250 0.1250 0.3750
# Spin magnetization ... 0.0 μB per formula unit
# Final energy ... -4.121 eV per atom
# Formation energy ... -200.9 meV per atom
# Distance to the lowest polymorph of the same formula ... 0.014 eV/atom

***

# SrNdInSn, relaxed, DFT PBE-GGA
data_SrNdInSn
_chemical_formula_sum 'Sr4 Nd4 In4 Sn4'
_symmetry_space_group_name_H-M 'F -4 3 m'
_symmetry_Int_Tables_number 216
_symmetry_space_group_name_Hall 'F -4 2 3'
_cell_length_a 7.9193
_cell_length_b 7.9193
_cell_length_c 7.9193
_cell_angle_alpha 90.00
_cell_angle_beta 90.00
_cell_angle_gamma 90.00
loop_
_atom_site_label
_atom_site_type_symbol
_atom_site_fract_x
_atom_site_fract_y
_atom_site_fract_z
Sr1 Sr 0.0000 0.0000 0.0000
Nd1 Nd 0.0000 0.0000 0.5000
In1 In 0.2500 0.2500 0.7500
Sn1 Sn 0.2500 0.2500 0.2500
# Spin magnetization ... 0.0 μB per formula unit
# Final energy ... -3.784 eV per atom
# Formation energy ... -486.7 meV per atom

***

- Which of these has the highest spin magnetization?
  NdIn4Sn

***

- Which of these has the highest formation energy?
  NdIn4Sn

***

What did the first record say?
# Nd4InSn3, relaxed, DFT PBE-GGA
data_Nd4InSn3
_chemical_formula_sum 'Nd4 In1 Sn3'
_symmetry_space_group_name_H-M 'P m m 2'
_symmetry_Int_Tables_number 25
_cell_length_a 4.4084
_cell_length_b 4.6864
_cell_length_c 11.8021
_cell_angle_alpha 90.00
_cell_angle_beta 90.00
_cell_angle_gamma 90.00
loop_
_symmetry_equiv_pos_as_xyz
'x,y,z'
'-x,-y,z'
'-x,y,z'
'x,-y,z'
loop_
_atom_site_label
_atom_site_type_symbol
_atom_site_fract_x
_atom_site_fract_y
_atom_site_fract_z
Nd1 Nd 0.0000 0.0000 0.0000
Nd2 Nd 0.0000 0.5000 0.4995
Nd3 Nd 0.5000 0.0000 0.2731
Nd4 Nd 0.5000 0.5000 0.7742
In1 In 0.5000 0.0000 0.5515
Sn1 Sn 0.0000 0.0000 0.7214
Sn2 Sn 0.0000 0.5000 0.2246
Sn3 Sn 0.5000 0.5000 0.0477
# Spin magnetization ... 0.0 μB per formula unit
# Final energy ... -4.943 eV per atom
# Formation energy ... -715.5 meV per atom